Crystalline Te2P2O at its relaxed geometry. Source: the Alexandria database, functional PBE-GGA.

- Space group: I4/mmm
- Fermi-level density of states: 1.88 states/eV/cell
- Energy relative to the elements, uncorrected: 0.363 eV/atom

Structure (POSCAR):
```
Te2P2O
1.0
-3.991 0.938 3.695
-1.242 -5.378 0.023
-0.291 -2.746 4.505
P Te O
2 2 1
Direct
0.750 0.250 0.500 P
0.250 0.750 0.500 P
0.284 0.284 0.432 Te
0.716 0.716 0.568 Te
0.000 0.000 0.000 O
```



Crystalline TcMo2S at its relaxed geometry. Source: the Alexandria database, functional PBE-GGA.

- Space group: I-42d
- Fermi-level density of states: 12.11 states/eV/cell
- Energy relative to the elements, uncorrected: 0.418 eV/atom

Structure (POSCAR):
```
TcMo2S
1.0
7.035 0.000 0.000
0.000 7.035 0.000
3.517 3.517 2.547
Tc Mo S
2 4 2
Direct
0.000 0.000 0.000 Tc
0.750 0.250 0.500 Tc
0.192 0.625 0.250 Mo
0.375 0.442 0.750 Mo
0.558 0.125 0.250 Mo
0.875 0.808 0.750 Mo
0.250 0.750 0.500 S
0.500 0.500 0.000 S
```



Crystalline LiAc3Al8 at its relaxed geometry. Source: the Alexandria database, functional PBE-GGA.

- Space group: R3m
- Fermi-level density of states: 6.98 states/eV/cell
- Energy of formation: -0.28 eV/atom

Structure (POSCAR):
```
LiAc3Al8
1.0
-2.689 0.905 -5.078
-0.163 -4.222 -3.997
-9.107 -4.335 0.719
Al Ac Li
8 3 1
Direct
0.687 0.687 0.939 Al
0.437 0.437 0.189 Al
0.937 0.437 0.189 Al
0.437 0.937 0.189 Al
0.939 0.939 0.684 Al
0.439 0.939 0.684 Al
0.939 0.439 0.684 Al
0.188 0.188 0.436 Al
0.995 0.995 0.014 Ac
0.375 0.375 0.875 Ac
0.503 0.503 0.490 Ac
0.874 0.874 0.379 Li
```



Crystalline Al3Sb at its relaxed geometry. Source: the Alexandria database, functional PBE-GGA.

- Space group: R-3m
- Fermi-level density of states: 0.97 states/eV/cell
- Energy relative to the elements, uncorrected: 0.194 eV/atom

Structure (POSCAR):
```
Al3Sb
1.0
-9.000 -1.612 3.290
-8.306 -4.490 2.296
-7.428 -3.569 5.148
Al Sb
3 1
Direct
0.245 0.245 0.245 Al
0.755 0.755 0.755 Al
0.500 0.500 0.500 Al
0.000 0.000 0.000 Sb
```



no.,calculated density (g cm⁻³)
1,5.10
2,8.48
3,5.37
4,4.17